This record from the Alexandria database describes a relaxed structure of ThPaCoO6. The functional is GGA+U.

M_tot	2.0	μB per cell
electronic total energy	-8.4744	eV/atom

a = 5.4540 Å, b = 5.4540 Å, c = 4.9511 Å
α = 90.00°, β = 90.00°, γ = 120.00°
Last column: nearest neighbours and their distance in Å.
Space group P312 (No. 149)
Symmetry-distinct sites (fractional):
Th1 0.0000 0.0000 0.0000 x1  6 O 2.31
Pa1 0.6667 0.3333 0.5000 x1  6 O 2.19
Co1 0.3333 0.6667 0.0000 x1  6 O 2.08
O1 0.0072 0.3665 0.2393 x6  1 Co 2.08, 1 Pa 2.19, 1 Th 2.31